A plane-wave DFT calculation with PBE with a Hubbard U was carried out for a geometry-optimized Cs2LaCo2O6 structure.

Cell lengths 7.1188, 7.1188, 7.1188 Å; angles 53.24, 53.24, 53.24 degrees
Element x y z (fractional)
Cs: 0.2228 0.2228 0.2228
Cs: 0.7772 0.7772 0.7772
La: 0.0000 0.0000 0.0000
Co: 0.4278 0.4278 0.4278
Co: 0.5722 0.5722 0.5722
O: 0.2554 0.2554 0.7252
O: 0.2554 0.7252 0.2554
O: 0.2748 0.7446 0.7446
O: 0.7252 0.2554 0.2554
O: 0.7446 0.2748 0.7446
O: 0.7446 0.7446 0.2748

## Properties
* VASP energy: -64.20 eV per cell
* total moment: 9.013 μB/f.u.
* space-group type: R-3m (166)